[1]
NdHoMg5 | PBE-GGA | optimized geometry

Cell: 5.8163 5.8163 6.6973 Å, 100.71 100.71 113.98°
Fractional coordinates of all 7 atoms:
Mg: 0.0000 0.0000 0.5000
Mg: 0.0845 0.5086 0.7705
Mg: 0.4914 0.9155 0.2295
Nd: 0.0000 0.0000 0.0000
Mg: 0.5086 0.0845 0.7705
Ho: 0.5000 0.5000 0.5000
Mg: 0.9155 0.4914 0.2295

The value obtained for the volume is 27.80 A^3/atom. The value obtained for the total DFT energy (no corrections) is -0.087 Ha/atom. As for the symmetry: No. 12. The theoretical density is 3.68 g/cm3. The value obtained for the density of states at the Fermi level is 0.696 states/eV per atom.

[2]
Nd4HoMg | PBE-GGA | optimized geometry

Cell: 3.6794 3.6794 14.4828 Å, 90.00 90.00 90.00°
Fractional coordinates of all 6 atoms:
Nd: 0.0000 0.0000 0.6517
Nd: 0.0000 0.0000 0.3483
Nd: 0.5000 0.5000 0.1727
Ho: 0.0000 0.0000 0.0000
Mg: 0.5000 0.5000 0.5000
Nd: 0.5000 0.5000 0.8273

The value obtained for the volume is 32.68 A^3/atom. The value obtained for the total DFT energy (no corrections) is -0.155 Ha/atom. As for the symmetry: No. 123. The theoretical density is 6.49 g/cm3. The value obtained for the density of states at the Fermi level is 1.185 states/eV per atom. For the relative energy among the computed polymorphs, the calculation gives 0.0 kJ per mole of atoms.

[3]
Nd8Ho3Mg2 | PBE-GGA | optimized geometry

Cell: 7.3850 9.6537 8.0201 Å, 88.63 48.91 89.37°
Fractional coordinates of all 13 atoms:
Mg: 0.4889 0.4391 0.6702
Nd: 0.1654 0.8527 0.4593
Ho: 0.2534 0.9991 0.9887
Ho: 0.0000 0.5000 0.5000
Nd: 0.0690 0.6777 0.9006
Nd: 0.4646 0.3072 0.0625
Nd: 0.9310 0.3223 0.0994
Nd: 0.8346 0.1473 0.5407
Ho: 0.7466 0.0009 0.0113
Nd: 0.3224 0.1786 0.5462
Nd: 0.6776 0.8214 0.4538
Nd: 0.5354 0.6928 0.9375
Mg: 0.5111 0.5609 0.3298

The value obtained for the volume is 33.14 A^3/atom. The value obtained for the total DFT energy (no corrections) is -0.153 Ha/atom. As for the symmetry: No. 2. The theoretical density is 6.54 g/cm3. The value obtained for the density of states at the Fermi level is 1.439 states/eV per atom.

In μB/f.u., the spin magnetization values for the records above are, in order, 0.000; 0.000; 0.000.